# SiP2Br | Alexandria | PBE-GGA | relaxed
# VASP energy	-16.60	eV per cell
# formation energy (no corrections)	0.329	eV/atom
# crystal system	orthorhombic
# E above lowest polymorph	261	meV per atom
data_SiP2Br
_chemical_formula_sum 'Si1 P2 Br1'
_cell_length_a 3.179
_cell_length_b 3.213
_cell_length_c 7.881
_cell_angle_alpha 90.00
_cell_angle_beta 90.00
_cell_angle_gamma 90.00
_space_group_name_H-M_alt 'P 1'
_space_group_IT_number 1
_space_group_name_Hall 'P 1'
loop_
_atom_site_label
_atom_site_type_symbol
_atom_site_fract_x
_atom_site_fract_y
_atom_site_fract_z
P1 P 0.000 0.000 0.105
P2 P 0.000 0.000 0.395
Si1 Si 0.500 0.500 0.250
Br1 Br 0.500 0.500 0.750

# SiPBr | Alexandria | PBE-GGA | relaxed
# VASP energy	-12.42	eV per cell
# formation energy (no corrections)	0.030	eV/atom
# crystal system	tetragonal
# E above lowest polymorph	415	meV per atom
data_SiPBr
_chemical_formula_sum 'Si1 P1 Br1'
_cell_length_a 7.339
_cell_length_b 7.339
_cell_length_c 7.339
_cell_angle_alpha 154.22
_cell_angle_beta 154.22
_cell_angle_gamma 36.79
_space_group_name_H-M_alt 'P 1'
_space_group_IT_number 1
_space_group_name_Hall 'P 1'
loop_
_atom_site_label
_atom_site_type_symbol
_atom_site_fract_x
_atom_site_fract_y
_atom_site_fract_z
Br1 Br 0.960 0.960 0.000
P1 P 0.242 0.242 0.000
Si1 Si 0.798 0.798 0.000

# SiPBr4 | Alexandria | PBE-GGA | relaxed
# VASP energy	-9.99	eV per cell
# formation energy (no corrections)	1.255	eV/atom
# crystal system	cubic
data_SiPBr4
_chemical_formula_sum 'Si1 P1 Br4'
_cell_length_a 6.201
_cell_length_b 6.201
_cell_length_c 6.201
_cell_angle_alpha 60.00
_cell_angle_beta 60.00
_cell_angle_gamma 60.00
_space_group_name_H-M_alt 'P 1'
_space_group_IT_number 1
_space_group_name_Hall 'P 1'
loop_
_atom_site_label
_atom_site_type_symbol
_atom_site_fract_x
_atom_site_fract_y
_atom_site_fract_z
P1 P 0.750 0.750 0.750
Br1 Br 0.375 0.375 0.875
Br2 Br 0.375 0.875 0.375
Br3 Br 0.875 0.375 0.375
Si1 Si 0.000 0.000 0.000
Br4 Br 0.375 0.375 0.375

# SiPBr3 | Alexandria | PBE-GGA | relaxed
# VASP energy	-13.57	eV per cell
# formation energy (no corrections)	0.457	eV/atom
# crystal system	cubic
# E above lowest polymorph	0	meV per atom
data_SiPBr3
_chemical_formula_sum 'Si1 P1 Br3'
_cell_length_a 5.201
_cell_length_b 5.201
_cell_length_c 5.201
_cell_angle_alpha 90.00
_cell_angle_beta 90.00
_cell_angle_gamma 90.00
_space_group_name_H-M_alt 'P 1'
_space_group_IT_number 1
_space_group_name_Hall 'P 1'
loop_
_atom_site_label
_atom_site_type_symbol
_atom_site_fract_x
_atom_site_fract_y
_atom_site_fract_z
Br1 Br 0.500 0.000 0.000
Br2 Br 0.000 0.500 0.000
Si1 Si 0.000 0.000 0.000
Br3 Br 0.000 0.000 0.500
P1 P 0.500 0.500 0.500

# SiPBr | Alexandria | PBE-GGA | relaxed
# VASP energy	-13.58	eV per cell
# formation energy (no corrections)	-0.357	eV/atom
# crystal system	triclinic
# E above lowest polymorph	28	meV per atom
data_SiPBr
_chemical_formula_sum 'Si1 P1 Br1'
_cell_length_a 3.611
_cell_length_b 3.612
_cell_length_c 7.331
_cell_angle_alpha 98.74
_cell_angle_beta 92.31
_cell_angle_gamma 119.99
_space_group_name_H-M_alt 'P 1'
_space_group_IT_number 1
_space_group_name_Hall 'P 1'
loop_
_atom_site_label
_atom_site_type_symbol
_atom_site_fract_x
_atom_site_fract_y
_atom_site_fract_z
Br1 Br 0.639 0.341 0.432
P1 P 0.112 0.214 0.877
Si1 Si 0.736 0.484 0.742

# SiPBr | Alexandria | PBE-GGA | relaxed
# VASP energy	-27.23	eV per cell
# formation energy (no corrections)	-0.370	eV/atom
# crystal system	orthorhombic
# E above lowest polymorph	14	meV per atom
data_SiPBr
_chemical_formula_sum 'Si2 P2 Br2'
_cell_length_a 3.569
_cell_length_b 8.151
_cell_length_c 5.957
_cell_angle_alpha 90.00
_cell_angle_beta 90.00
_cell_angle_gamma 90.00
_space_group_name_H-M_alt 'P 1'
_space_group_IT_number 1
_space_group_name_Hall 'P 1'
loop_
_atom_site_label
_atom_site_type_symbol
_atom_site_fract_x
_atom_site_fract_y
_atom_site_fract_z
Si1 Si 0.500 0.568 0.153
P1 P 0.500 0.583 0.537
P2 P 0.000 0.417 0.037
Br1 Br 0.500 0.835 0.059
Br2 Br 0.000 0.165 0.559
Si2 Si 0.000 0.432 0.653